Record 1
Below is Th2InPb after structural relaxation, with properties calculated at the PBE-GGA level.

Cell lengths 7.124, 9.306, 3.537 Å; angles 90.00, 90.00, 90.00 degrees
Space group Cmmm (No. 65)
Asymmetric unit:
Th: 0.250 0.250 0.000 x4
In: 0.000 0.000 0.500 x2
Pb: 0.000 0.500 0.500 x2

Energy (eV/cell): -44.91
ΔE_f (eV per atom): -0.292
Density of states at the Fermi level (states/eV/f.u.): 2.453



Record 2
Below is ThInPb after structural relaxation, with properties calculated at the PBE-GGA level.

Cell lengths 5.849, 11.838, 5.071 Å; angles 90.00, 90.00, 90.00 degrees
Space group Cmcm (No. 63)
Asymmetric unit:
Th: 0.000 0.245 0.250 x4
In: 0.000 0.068 0.750 x4
Pb: 0.000 0.422 0.750 x4

Energy (eV/cell): -56.83
ΔE_f (eV per atom): -0.113
Density of states at the Fermi level (states/eV/f.u.): 1.921



Record 3
Below is Th4In3Pb after structural relaxation, with properties calculated at the PBE-GGA level.

Cell lengths 3.344, 5.932, 11.866 Å; angles 90.00, 90.00, 90.00 degrees
Space group Pmmm (No. 47)
Asymmetric unit:
Th: 0.000 0.000 0.000 x1
Th: 0.000 0.000 0.500 x1
Th: 0.000 0.500 0.249 x2
In: 0.500 0.000 0.250 x2
In: 0.500 0.500 0.000 x1
Pb: 0.500 0.500 0.500 x1

Energy (eV/cell): -43.57
ΔE_f (eV per atom): -0.246
Density of states at the Fermi level (states/eV/f.u.): 6.406



Record 4
Below is Ti3InPb after structural relaxation, with properties calculated at the PBE-GGA level.

Cell lengths 5.718, 7.268, 10.145 Å; angles 90.00, 90.00, 90.00 degrees
Space group Pnma (No. 62)
Asymmetric unit:
Ti: 0.107 0.250 0.229 x4
Ti: 0.174 0.068 0.734 x8
In: 0.037 0.750 0.501 x4
Pb: 0.000 0.000 0.000 x4

Energy (eV/cell): -116.61
ΔE_f (eV per atom): 0.196
Density of states at the Fermi level (states/eV/f.u.): 5.668



Record 5
Below is Ti6In2Pb after structural relaxation, with properties calculated at the PBE-GGA level.

Cell lengths 4.873, 5.645, 13.296 Å; angles 90.00, 90.00, 90.00 degrees
Space group Immm (No. 71)
Asymmetric unit:
Ti: 0.000 0.246 0.000 x4
Ti: 0.000 0.247 0.187 x8
In: 0.000 0.500 0.383 x4
Pb: 0.000 0.000 0.500 x2

Energy (eV/cell): -107.64
ΔE_f (eV per atom): 0.304
Density of states at the Fermi level (states/eV/f.u.): 11.696



Record 6
Below is TiInPb3 after structural relaxation, with properties calculated at the PBE-GGA level.

Cell lengths 5.650, 5.650, 5.650 Å; angles 90.00, 90.00, 90.00 degrees
Space group Pm-3m (No. 221)
Asymmetric unit:
Ti: 0.000 0.000 0.000 x1
In: 0.500 0.500 0.500 x1
Pb: 0.000 0.500 0.500 x3

Energy (eV/cell): -16.39
ΔE_f (eV per atom): 1.074
Density of states at the Fermi level (states/eV/f.u.): 9.286



Record 7
Below is Ti6InPb after structural relaxation, with properties calculated at the PBE-GGA level.

Cell lengths 5.9422, 5.9422, 4.7940 Å; angles 90.00, 90.00, 120.00 degrees
Space group P-6m2 (No. 187)
Asymmetric unit:
Ti: 0.0088 0.5044 0.0000 x3
Ti: 0.1701 0.3402 0.5000 x3
In: 0.0000 0.0000 0.0000 x1
Pb: 0.6667 0.3333 0.5000 x1

Energy (eV/cell): -54.59
ΔE_f (eV per atom): -0.097
Density of states at the Fermi level (states/eV/f.u.): 6.293



Record 8
Below is Ti2InPb after structural relaxation, with properties calculated at the PBE-GGA level.

Cell lengths 3.626, 3.626, 6.202 Å; angles 90.00, 90.00, 90.00 degrees
Space group P4/mmm (No. 123)
Asymmetric unit:
Ti: 0.000 0.000 0.244 x2
In: 0.500 0.500 0.500 x1
Pb: 0.500 0.500 0.000 x1

Energy (eV/cell): -21.85
ΔE_f (eV per atom): 0.097
Density of states at the Fermi level (states/eV/f.u.): 5.266



Record 9
Below is Ti3InPb after structural relaxation, with properties calculated at the PBE-GGA level.

Cell lengths 5.033, 5.033, 5.033 Å; angles 90.00, 90.00, 90.00 degrees
Space group Pm-3m (No. 221)
Asymmetric unit:
Ti: 0.000 0.000 0.500 x3
In: 0.000 0.000 0.000 x1
Pb: 0.500 0.500 0.500 x1

Energy (eV/cell): -25.62
ΔE_f (eV per atom): 0.903
Density of states at the Fermi level (states/eV/f.u.): 8.291



Record 10
Below is TiIn2Pb after structural relaxation, with properties calculated at the PBE-GGA level.

Cell lengths 3.184, 3.184, 9.533 Å; angles 90.00, 90.00, 90.00 degrees
Space group P4/mmm (No. 123)
Asymmetric unit:
Ti: 0.000 0.000 0.000 x1
In: 0.500 0.500 0.206 x2
Pb: 0.000 0.000 0.500 x1

Energy (eV/cell): -16.84
ΔE_f (eV per atom): 0.061
Density of states at the Fermi level (states/eV/f.u.): 3.777



Record 11
Below is TiIn2Pb after structural relaxation, with properties calculated at the PBE-GGA level.

Cell lengths 3.2282, 3.2282, 35.3698 Å; angles 90.00, 90.00, 120.00 degrees
Space group R-3m (No. 166, hexagonal axes)
Asymmetric unit:
Ti: 0.0000 0.0000 0.0000 x3
In: 0.0000 0.0000 0.0803 x6
Pb: 0.0000 0.0000 0.5000 x3

Energy (eV/cell): -46.56
ΔE_f (eV per atom): 0.390
Density of states at the Fermi level (states/eV/f.u.): 4.233



Record 12
Below is Ti2In2Pb after structural relaxation, with properties calculated at the PBE-GGA level.

Cell lengths 4.121, 4.121, 14.321 Å; angles 90.00, 90.00, 90.00 degrees
Space group I4/mmm (No. 139)
Asymmetric unit:
Ti: 0.000 0.500 0.250 x4
In: 0.000 0.000 0.104 x4
Pb: 0.000 0.000 0.500 x2

Energy (eV/cell): -46.95
ΔE_f (eV per atom): 0.300
Density of states at the Fermi level (states/eV/f.u.): 4.481



Record 13
Below is Ti3InPb after structural relaxation, with properties calculated at the PBE-GGA level.

Cell lengths 5.326, 14.935, 5.322 Å; angles 90.00, 90.00, 90.00 degrees
Space group Cmcm (No. 63)
Asymmetric unit:
Ti: 0.000 0.000 0.000 x4
Ti: 0.244 0.146 0.250 x8
In: 0.000 0.451 0.250 x4
Pb: 0.000 0.180 0.750 x4

Energy (eV/cell): -117.10
ΔE_f (eV per atom): 0.171
Density of states at the Fermi level (states/eV/f.u.): 6.306